VASP calculation (meta-GGA SCAN) on a crystal of In2Au3 relaxed with PBEsol.

Structure (extended XYZ):
```
5
Lattice="1.924 1.111 8.349 -1.924 1.111 8.349 0.000 -2.221 8.349" Properties=species:S:1:pos:R:3 pbc="T T T"
In 0.000 0.000 2.449
In 0.000 0.000 22.597
Au 0.000 0.000 7.550
Au 0.000 0.000 12.523
Au 0.000 0.000 17.496
```

ΔE to the lowest computed polymorph (meV per atom): 58.7
SG: R-3m, No. 166
Density of states at the Fermi level (states/eV per cell): 1.6
Energy relative to the elements (eV/f.u.): -0.97